DFT (GGA-PBE) results for a relaxed LaTm3Mg6 crystal.

Computed properties:
theoretical density	4.93	Mg/m³
calculated volume	266.4	Å³/f.u.
raw total energy	-2.843	eV/atom
energy of formation	-0.0521	eV per atom

Cell and atoms, written as POSCAR:
```
LaTm3Mg6
1.0
5.302 0.000 0.000
0.000 8.850 -2.720
0.000 0.204 11.293
Mg La Tm
12 2 6
Direct
0.250 0.446 0.100
0.250 0.258 0.498
0.250 0.052 0.908
0.750 0.742 0.502
0.750 0.554 0.900
0.750 0.153 0.709
0.250 0.150 0.198
0.250 0.847 0.291
0.250 0.649 0.705
0.750 0.351 0.295
0.750 0.850 0.802
0.750 0.948 0.092
0.750 0.055 0.395
0.250 0.945 0.605
0.750 0.454 0.605
0.250 0.546 0.395
0.250 0.748 0.000
0.250 0.352 0.801
0.750 0.648 0.199
0.750 0.252 0.000
```